Density functional theory data (PBE-GGA) for an optimized crystal structure of Pr2Al2Ni3.

Unit cell a=7.164 b=7.164 c=7.164 alpha=109.47 beta=109.47 gamma=109.47
Atoms (fractional coordinates):
Pr  0.000  0.988  0.500
Pr  0.500  0.000  0.988
Pr  0.512  0.512  0.512
Pr  0.988  0.500  0.000
Al  0.000  0.560  0.500
Al  0.500  0.000  0.560
Al  0.560  0.500  0.000
Al  0.940  0.940  0.940
Ni  0.036  0.250  0.286
Ni  0.214  0.464  0.750
Ni  0.250  0.286  0.036
Ni  0.286  0.036  0.250
Ni  0.464  0.750  0.214
Ni  0.750  0.214  0.464

Calculated values
Energy of formation from the pure elements   -0.258 eV/atom
Fermi-level density of states   5.777 states/eV/f.u.
Space-group type   I2_13 (199)